A relaxed structure of La2ErCuSe5, computed with GGA-PBE.

Unit cell a=4.126 b=9.105 c=12.255 alpha=90.00 beta=90.00 gamma=103.10
Atoms (fractional coordinates):
1 Se 0.501 0.001 0.277
2 Se 0.041 0.083 0.056
3 Se 0.690 0.380 0.851
4 Se 0.354 0.709 0.003
5 Se 0.310 0.620 0.351
6 Se 0.291 0.581 0.672
7 Se 0.499 0.999 0.777
8 Se 0.646 0.291 0.503
9 Se 0.959 0.917 0.556
10 Se 0.709 0.419 0.172
11 Er 0.192 0.385 0.012
12 Er 0.808 0.615 0.512
13 La 0.878 0.756 0.813
14 La 0.889 0.778 0.188
15 La 0.111 0.222 0.688
16 La 0.122 0.244 0.313
17 Cu 0.436 0.873 0.452
18 Cu 0.564 0.127 0.952

Results
Formation energy (no corrections)   -1.691 eV per atom
Energy   -5.684 eV/atom
Space-group type   Cmc2_1

=====

A relaxed structure of LaErCu2Si2, computed with GGA-PBE.

Unit cell a=4.204 b=4.204 c=7.725 alpha=90.00 beta=90.00 gamma=120.00
Atoms (fractional coordinates):
1 Si 0.333 0.667 0.268
2 Si 0.667 0.333 0.732
3 Cu 0.333 0.667 0.720
4 Cu 0.667 0.333 0.280
5 La 0.000 0.000 0.000
6 Er 0.000 0.000 0.500

Results
Formation energy (no corrections)   -0.655 eV per atom
Energy   -5.409 eV/atom
Space-group type   P-3m1

=====

A relaxed structure of LaErCuSi, computed with GGA-PBE.

Unit cell a=5.055 b=5.055 c=5.055 alpha=60.00 beta=60.00 gamma=60.00
Atoms (fractional coordinates):
1 Er 0.000 0.000 0.000
2 Cu 0.250 0.250 0.250
3 Si 0.750 0.750 0.750
4 La 0.500 0.500 0.500

Results
Formation energy (no corrections)   -0.389 eV per atom
Energy   -5.142 eV/atom
Space-group type   F-43m

=====

A relaxed structure of LaSmErCu, computed with GGA-PBE.

Unit cell a=3.559 b=3.559 c=8.821 alpha=90.00 beta=90.00 gamma=90.00
Atoms (fractional coordinates):
1 Cu 0.000 0.000 0.560
2 Er 0.500 0.500 0.384
3 Sm 0.500 0.500 0.763
4 La 0.000 0.000 0.078

Results
Formation enthalpy at 0 K   -0.09 eV/atom
Energy   -4.663 eV/atom
Space-group type   P4mm

=====

A relaxed structure of LaTbErCu, computed with GGA-PBE.

Unit cell a=3.532 b=3.532 c=8.798 alpha=90.00 beta=90.00 gamma=90.00
Atoms (fractional coordinates):
1 Cu 0.000 0.000 0.566
2 Er 0.500 0.500 0.385
3 Tb 0.500 0.500 0.760
4 La 0.000 0.000 0.074

Results
Formation enthalpy at 0 K   -0.10 eV/atom
Energy   -4.651 eV/atom
Space-group type   P4mm

=====

A relaxed structure of LaErTmCu, computed with GGA-PBE.

Unit cell a=3.497 b=3.497 c=8.800 alpha=90.00 beta=90.00 gamma=90.00
Atoms (fractional coordinates):
1 Tm 0.500 0.500 0.385
2 Cu 0.000 0.000 0.570
3 La 0.000 0.000 0.072
4 Er 0.500 0.500 0.758

Results
Formation enthalpy at 0 K   -0.11 eV/atom
Energy   -4.621 eV/atom
Space-group type   P4mm

=====

A relaxed structure of LaYErCu, computed with GGA-PBE.

Unit cell a=3.526 b=3.526 c=8.848 alpha=90.00 beta=90.00 gamma=90.00
Atoms (fractional coordinates):
1 La 0.000 0.000 0.075
2 Y 0.500 0.500 0.759
3 Cu 0.000 0.000 0.565
4 Er 0.500 0.500 0.385

Results
Formation enthalpy at 0 K   -0.10 eV/atom
Energy   -5.111 eV/atom
Space-group type   P4mm

=====

A relaxed structure of LaErZnCu, computed with GGA-PBE.

Unit cell a=3.572 b=3.572 c=7.291 alpha=90.00 beta=90.00 gamma=90.00
Atoms (fractional coordinates):
1 Zn 0.000 0.000 0.828
2 La 0.500 0.500 0.111
3 Er 0.500 0.500 0.597
4 Cu 0.000 0.000 0.392

Results
Formation enthalpy at 0 K   -0.26 eV/atom
Energy   -3.977 eV/atom
Space-group type   P4mm
Energy relative to the lowest polymorph listed for this composition   0 meV per atom